1.
! Nd3Sn2Rh6, relaxed, DFT PBE; values from VASP
! - total energy (eV per atom) = -6.71
! - formation energy from the elements (eV/atom) = -0.670
&SYSTEM
  ibrav = 0, nat = 22, ntyp = 3
/
ATOMIC_SPECIES
Nd 144.24 Nd.upf
Sn 118.71 Sn.upf
Rh 102.91 Rh.upf
CELL_PARAMETERS angstrom
-1.994 7.796 2.198
-4.283 -2.145 -6.829
-1.899 -5.216 6.226
ATOMIC_POSITIONS crystal
Nd 0.710 0.000 0.710
Nd 0.290 0.000 0.290
Nd 0.000 0.290 0.290
Nd 0.000 0.710 0.710
Nd 0.290 0.290 0.000
Nd 0.710 0.710 0.000
Sn 0.000 0.500 0.000
Sn 0.500 0.000 0.000
Sn 0.000 0.000 0.500
Sn 0.500 0.500 0.500
Rh 0.651 0.302 0.651
Rh 0.651 0.000 0.349
Rh 0.349 0.000 0.651
Rh 0.349 0.698 0.349
Rh 0.000 0.651 0.349
Rh 0.698 0.349 0.349
Rh 0.302 0.651 0.651
Rh 0.000 0.349 0.651
Rh 0.349 0.651 0.000
Rh 0.651 0.651 0.302
Rh 0.349 0.349 0.698
Rh 0.651 0.349 0.000


2.
! NdSn6Rh5, relaxed, DFT PBE; values from VASP
! - total energy (eV per atom) = -5.87
! - formation energy from the elements (eV/atom) = -0.408
&SYSTEM
  ibrav = 0, nat = 12, ntyp = 3
/
ATOMIC_SPECIES
Nd 144.24 Nd.upf
Sn 118.71 Sn.upf
Rh 102.91 Rh.upf
CELL_PARAMETERS angstrom
7.561 -0.097 0.000
2.095 5.486 0.000
1.047 2.743 5.832
ATOMIC_POSITIONS crystal
Nd 0.000 0.000 0.000
Sn 0.700 0.095 0.387
Sn 0.300 0.517 0.387
Sn 0.220 0.348 0.000
Sn 0.780 0.652 0.000
Sn 0.700 0.483 0.613
Sn 0.300 0.905 0.613
Rh 0.500 0.119 0.761
Rh 0.000 0.307 0.385
Rh 0.500 0.500 0.000
Rh 0.000 0.693 0.615
Rh 0.500 0.881 0.239


3.
! Nd4SnRh, relaxed, DFT PBE; values from VASP
! - total energy (eV per atom) = -5.58
! - formation energy from the elements (eV/atom) = -0.513
&SYSTEM
  ibrav = 0, nat = 12, ntyp = 3
/
ATOMIC_SPECIES
Nd 144.24 Nd.upf
Sn 118.71 Sn.upf
Rh 102.91 Rh.upf
CELL_PARAMETERS angstrom
-3.973 -3.887 2.711
5.645 -4.899 -3.963
3.217 4.330 6.477
ATOMIC_POSITIONS crystal
Nd 0.045 0.209 0.862
Nd 0.776 0.701 0.632
Nd 0.317 0.652 0.862
Nd 0.356 0.931 0.632
Nd 0.644 0.069 0.368
Nd 0.683 0.348 0.138
Nd 0.224 0.299 0.368
Nd 0.955 0.791 0.138
Sn 0.373 0.623 0.247
Sn 0.627 0.377 0.753
Rh 0.249 0.999 0.999
Rh 0.751 0.001 0.001


4.
! NdSn4Rh6, relaxed, DFT PBE; values from VASP
! - total energy (eV per atom) = -6.19
! - formation energy from the elements (eV/atom) = -0.291
&SYSTEM
  ibrav = 0, nat = 11, ntyp = 3
/
ATOMIC_SPECIES
Nd 144.24 Nd.upf
Sn 118.71 Sn.upf
Rh 102.91 Rh.upf
CELL_PARAMETERS angstrom
6.858 -0.236 -0.347
-3.380 5.971 0.347
-3.380 -1.872 5.681
ATOMIC_POSITIONS crystal
Nd 0.000 0.000 0.000
Sn 0.000 0.110 0.519
Sn 0.590 0.481 0.481
Sn 0.000 0.519 0.110
Sn 0.410 0.890 0.890
Rh 0.000 0.754 0.425
Rh 0.000 0.425 0.754
Rh 0.671 0.246 0.246
Rh 0.500 0.000 0.500
Rh 0.329 0.575 0.575
Rh 0.500 0.500 0.000


5.
! Nd8SnRh2, relaxed, DFT PBE; values from VASP
! - total energy (eV per atom) = -5.52
! - formation energy from the elements (eV/atom) = -0.353
&SYSTEM
  ibrav = 0, nat = 11, ntyp = 3
/
ATOMIC_SPECIES
Nd 144.24 Nd.upf
Sn 118.71 Sn.upf
Rh 102.91 Rh.upf
CELL_PARAMETERS angstrom
5.607 -0.061 -0.092
-1.014 8.171 -0.271
-1.014 -3.397 7.437
ATOMIC_POSITIONS crystal
Nd 0.939 0.921 0.673
Nd 0.939 0.673 0.921
Nd 0.308 0.607 0.607
Nd 0.500 0.753 0.247
Nd 0.500 0.247 0.753
Nd 0.692 0.393 0.393
Nd 0.061 0.327 0.079
Nd 0.061 0.079 0.327
Sn 0.500 0.000 0.000
Rh 0.000 0.297 0.703
Rh 0.000 0.703 0.297


6.
! Nd7Sn2Rh2, relaxed, DFT PBE; values from VASP
! - total energy (eV per atom) = -5.55
! - formation energy from the elements (eV/atom) = -0.453
&SYSTEM
  ibrav = 0, nat = 11, ntyp = 3
/
ATOMIC_SPECIES
Nd 144.24 Nd.upf
Sn 118.71 Sn.upf
Rh 102.91 Rh.upf
CELL_PARAMETERS angstrom
-5.433 4.482 -0.240
-2.026 -2.798 -6.374
-2.216 -5.838 3.267
ATOMIC_POSITIONS crystal
Nd 0.000 0.253 0.500
Nd 0.500 0.747 0.000
Nd 0.000 0.747 0.500
Nd 0.500 0.253 0.000
Nd 0.000 0.000 0.000
Nd 0.500 0.761 0.500
Nd 0.500 0.239 0.500
Sn 0.824 0.500 0.824
Sn 0.176 0.500 0.176
Rh 0.714 0.000 0.286
Rh 0.286 0.000 0.714


7.
! Nd3Sn3Rh2, relaxed, DFT PBE; values from VASP
! - total energy (eV per atom) = -5.91
! - formation energy from the elements (eV/atom) = -0.787
&SYSTEM
  ibrav = 0, nat = 32, ntyp = 3
/
ATOMIC_SPECIES
Nd 144.24 Nd.upf
Sn 118.71 Sn.upf
Rh 102.91 Rh.upf
CELL_PARAMETERS angstrom
-5.053 2.959 1.326
-4.533 -7.099 -1.428
1.572 -4.010 14.942
ATOMIC_POSITIONS crystal
Nd 0.116 0.469 0.389
Nd 0.616 0.031 0.611
Nd 0.884 0.531 0.889
Nd 0.384 0.969 0.111
Nd 0.884 0.531 0.611
Nd 0.384 0.969 0.389
Nd 0.116 0.469 0.111
Nd 0.616 0.031 0.889
Nd 0.633 0.329 0.250
Nd 0.133 0.171 0.750
Nd 0.367 0.671 0.750
Nd 0.867 0.829 0.250
Sn 0.119 0.180 0.250
Sn 0.619 0.320 0.750
Sn 0.881 0.820 0.750
Sn 0.381 0.680 0.250
Sn 0.614 0.311 0.466
Sn 0.114 0.189 0.534
Sn 0.386 0.689 0.966
Sn 0.886 0.811 0.034
Sn 0.386 0.689 0.534
Sn 0.886 0.811 0.466
Sn 0.614 0.311 0.034
Sn 0.114 0.189 0.966
Rh 0.869 0.090 0.391
Rh 0.369 0.410 0.609
Rh 0.131 0.910 0.891
Rh 0.631 0.590 0.109
Rh 0.131 0.910 0.609
Rh 0.631 0.590 0.391
Rh 0.869 0.090 0.109
Rh 0.369 0.410 0.891


8.
! Nd2Sn3Rh5, relaxed, DFT PBE; values from VASP
! - total energy (eV per atom) = -6.43
! - formation energy from the elements (eV/atom) = -0.598
&SYSTEM
  ibrav = 0, nat = 20, ntyp = 3
/
ATOMIC_SPECIES
Nd 144.24 Nd.upf
Sn 118.71 Sn.upf
Rh 102.91 Rh.upf
CELL_PARAMETERS angstrom
4.391 0.000 -0.748
0.000 6.815 0.000
0.011 0.000 13.328
ATOMIC_POSITIONS crystal
Nd 0.481 0.687 0.962
Nd 0.180 0.794 0.361
Nd 0.820 0.294 0.639
Nd 0.519 0.187 0.038
Sn 0.780 0.811 0.561
Sn 0.613 0.492 0.226
Sn 0.057 0.874 0.114
Sn 0.220 0.311 0.439
Sn 0.943 0.374 0.886
Sn 0.387 0.992 0.774
Rh 0.391 0.423 0.781
Rh 0.296 0.586 0.591
Rh 0.704 0.086 0.409
Rh 0.123 0.202 0.246
Rh 0.285 0.018 0.570
Rh 0.956 0.978 0.911
Rh 0.715 0.518 0.430
Rh 0.877 0.702 0.754
Rh 0.044 0.478 0.089
Rh 0.609 0.923 0.219


9.
! Nd2Sn2Rh, relaxed, DFT PBE; values from VASP
! - total energy (eV per atom) = -5.79
! - formation energy from the elements (eV/atom) = -0.808
&SYSTEM
  ibrav = 0, nat = 10, ntyp = 3
/
ATOMIC_SPECIES
Nd 144.24 Nd.upf
Sn 118.71 Sn.upf
Rh 102.91 Rh.upf
CELL_PARAMETERS angstrom
-1.591 -3.404 -2.651
4.489 -2.992 -2.841
-0.720 -7.909 6.598
ATOMIC_POSITIONS crystal
Nd 0.669 0.331 0.330
Nd 0.937 0.251 0.875
Nd 0.331 0.669 0.670
Nd 0.063 0.749 0.125
Sn 0.106 0.237 0.551
Sn 0.643 0.832 0.881
Sn 0.894 0.763 0.449
Sn 0.357 0.168 0.119
Rh 0.608 0.116 0.668
Rh 0.392 0.884 0.332


10.
! Nd3SnRh8, relaxed, DFT PBE; values from VASP
! - total energy (eV per atom) = -6.98
! - formation energy from the elements (eV/atom) = -0.553
&SYSTEM
  ibrav = 0, nat = 12, ntyp = 3
/
ATOMIC_SPECIES
Nd 144.24 Nd.upf
Sn 118.71 Sn.upf
Rh 102.91 Rh.upf
CELL_PARAMETERS angstrom
-4.732 -1.621 -1.964
-0.532 -4.973 -1.967
-4.079 -5.117 6.698
ATOMIC_POSITIONS crystal
Nd 0.376 0.376 0.872
Nd 0.996 0.996 0.013
Nd 0.503 0.503 0.490
Sn 0.873 0.873 0.382
Rh 0.937 0.437 0.189
Rh 0.441 0.937 0.684
Rh 0.437 0.437 0.189
Rh 0.937 0.937 0.684
Rh 0.188 0.188 0.435
Rh 0.688 0.688 0.937
Rh 0.437 0.937 0.189
Rh 0.937 0.441 0.684


11.
! Nd3Sn2Rh7, relaxed, DFT PBE; values from VASP
! - total energy (eV per atom) = -6.76
! - formation energy from the elements (eV/atom) = -0.610
&SYSTEM
  ibrav = 0, nat = 12, ntyp = 3
/
ATOMIC_SPECIES
Nd 144.24 Nd.upf
Sn 118.71 Sn.upf
Rh 102.91 Rh.upf
CELL_PARAMETERS angstrom
5.388 0.000 1.686
2.430 4.809 1.686
0.126 0.077 9.049
ATOMIC_POSITIONS crystal
Nd 0.000 0.000 0.000
Nd 0.860 0.860 0.419
Nd 0.140 0.140 0.581
Sn 0.666 0.666 0.002
Sn 0.334 0.334 0.998
Rh 0.500 0.500 0.500
Rh 0.918 0.415 0.252
Rh 0.415 0.918 0.252
Rh 0.415 0.415 0.252
Rh 0.082 0.585 0.748
Rh 0.585 0.585 0.748
Rh 0.585 0.082 0.748


12.
! Nd8Sn2Rh, relaxed, DFT PBE; values from VASP
! - total energy (eV per atom) = -5.29
! - formation energy from the elements (eV/atom) = -0.426
&SYSTEM
  ibrav = 0, nat = 11, ntyp = 3
/
ATOMIC_SPECIES
Nd 144.24 Nd.upf
Sn 118.71 Sn.upf
Rh 102.91 Rh.upf
CELL_PARAMETERS angstrom
5.053 0.000 0.000
0.000 7.028 0.230
-2.527 -2.649 9.494
ATOMIC_POSITIONS crystal
Nd 0.408 0.525 0.816
Nd 0.646 0.003 0.292
Nd 0.784 0.677 0.569
Nd 0.984 0.218 0.969
Nd 0.216 0.323 0.431
Nd 0.354 0.997 0.708
Nd 0.592 0.475 0.184
Nd 0.016 0.782 0.031
Sn 0.818 0.242 0.636
Sn 0.182 0.758 0.364
Rh 0.500 0.000 0.000


Number 1: volume 20.31 Å³/atom. Number 2: volume 20.26 Å³/atom. Number 3: volume 29.88 Å³/atom. Number 4: volume 20.33 Å³/atom. Number 5: volume 30.36 Å³/atom. Number 6: volume 31.23 Å³/atom. Number 7: volume 24.93 Å³/atom. Number 8: volume 19.94 Å³/atom. Number 9: volume 26.09 Å³/atom. Number 10: volume 18.41 Å³/atom. Number 11: volume 19.42 Å³/atom. Number 12: volume 30.93 Å³/atom.